Below is a relaxed CdCoGeCl2 crystal, with properties calculated at the GGA-PBEsol level.

Cell lengths 4.541, 4.541, 4.701 Å; angles 90.00, 90.00, 90.00 degrees
Fractional coordinates of all 5 atoms:
Cd1 0.000 0.000 0.000
Co1 0.500 0.500 0.500
Ge1 0.500 0.500 0.000
Cl1 0.000 0.500 0.500
Cl2 0.500 0.000 0.500

As for the crystal system: tetragonal. The value obtained for the uncorrected formation energy is -0.02 eV/atom.

Below is a relaxed YCoSb crystal, with properties calculated at the GGA-PBEsol level.

Cell lengths 5.876, 5.876, 5.876 Å; angles 147.65, 147.65, 46.40 degrees
Fractional coordinates of all 3 atoms:
Y1 0.000 0.000 0.000
Co1 0.671 0.671 0.000
Sb1 0.286 0.286 0.000

As for the crystal system: tetragonal. The value obtained for the uncorrected formation energy is -0.29 eV/atom.

Below is a relaxed Al6Fe crystal, with properties calculated at the GGA-PBEsol level.

Cell lengths 4.890, 4.890, 8.708 Å; angles 90.00, 90.00, 82.11 degrees
Fractional coordinates of all 14 atoms:
Al1 0.028 0.609 0.250
Al2 0.147 0.853 0.599
Al3 0.147 0.853 0.901
Al4 0.323 0.323 0.000
Al5 0.323 0.323 0.500
Al6 0.391 0.972 0.250
Al7 0.609 0.028 0.750
Al8 0.677 0.677 0.000
Al9 0.677 0.677 0.500
Al10 0.853 0.147 0.099
Al11 0.853 0.147 0.401
Al12 0.972 0.391 0.750
Fe1 0.461 0.539 0.750
Fe2 0.539 0.461 0.250

As for the crystal system: orthorhombic. Its formation enthalpy at 0 K is -202 meV/atom.

Below is a relaxed BeIn2Ni crystal, with properties calculated at the GGA-PBEsol level.

Cell lengths 4.685, 4.685, 4.685 Å; angles 128.22, 128.22, 76.26 degrees
Fractional coordinates of all 4 atoms:
Be1 0.000 0.000 0.000
In1 0.250 0.750 0.500
In2 0.750 0.250 0.500
Ni1 0.500 0.500 0.000

As for the crystal system: tetragonal. Its formation enthalpy at 0 K is 247 meV/atom.

Below is a relaxed FeCo3 crystal, with properties calculated at the GGA-PBEsol level.

Cell lengths 2.792, 3.906, 7.844 Å; angles 90.00, 90.00, 90.00 degrees
Fractional coordinates of all 8 atoms:
Fe1 0.250 0.000 0.127
Fe2 0.750 0.000 0.873
Co1 0.250 0.000 0.627
Co2 0.250 0.500 0.379
Co3 0.250 0.500 0.873
Co4 0.750 0.000 0.373
Co5 0.750 0.500 0.127
Co6 0.750 0.500 0.621

As for the crystal system: orthorhombic. Its formation enthalpy at 0 K is 68 meV/atom.

Below is a relaxed CoMoRh2 crystal, with properties calculated at the GGA-PBEsol level.

Cell lengths 2.665, 2.665, 7.377 Å; angles 90.00, 90.00, 90.00 degrees
Fractional coordinates of all 4 atoms:
Co1 0.000 0.000 0.000
Mo1 0.500 0.500 0.241
Rh1 0.000 0.000 0.505
Rh2 0.500 0.500 0.768

As for the crystal system: tetragonal. Its formation enthalpy at 0 K is 2 meV/atom.

Below is a relaxed YRe2Pt crystal, with properties calculated at the GGA-PBEsol level.

Cell lengths 4.763, 4.763, 4.763 Å; angles 127.05, 127.05, 78.16 degrees
Fractional coordinates of all 4 atoms:
Y1 0.000 0.000 0.000
Re1 0.250 0.750 0.500
Re2 0.500 0.500 0.000
Pt1 0.750 0.250 0.500

As for the crystal system: tetragonal. Its formation enthalpy at 0 K is 120 meV/atom.

Below is a relaxed ZrSb3C crystal, with properties calculated at the GGA-PBEsol level.

Cell lengths 5.429, 5.429, 5.429 Å; angles 90.00, 90.00, 90.00 degrees
Fractional coordinates of all 5 atoms:
Zr1 0.000 0.000 0.000
Sb1 0.000 0.000 0.500
Sb2 0.000 0.500 0.000
Sb3 0.500 0.000 0.000
C1 0.500 0.500 0.500

As for the crystal system: cubic. The value obtained for the uncorrected formation energy is 1.66 eV/atom.

Below is a relaxed RbLi2BiAs crystal, with properties calculated at the GGA-PBEsol level.

Cell lengths 5.235, 5.235, 5.866 Å; angles 90.00, 90.00, 90.00 degrees
Fractional coordinates of all 5 atoms:
Rb1 0.000 0.000 0.000
Li1 0.000 0.500 0.500
Li2 0.500 0.000 0.500
Bi1 0.500 0.500 0.500
As1 0.500 0.500 0.000

As for the crystal system: tetragonal. Its formation enthalpy at 0 K is -65 meV/atom.

Below is a relaxed NaAu3Br crystal, with properties calculated at the GGA-PBEsol level.

Cell lengths 4.914, 4.914, 4.914 Å; angles 90.00, 90.00, 90.00 degrees
Fractional coordinates of all 5 atoms:
Na1 0.000 0.000 0.000
Au1 0.000 0.000 0.500
Au2 0.000 0.500 0.000
Au3 0.500 0.000 0.000
Br1 0.500 0.500 0.500

As for the crystal system: cubic. The value obtained for the uncorrected formation energy is 1.04 eV/atom.

Below is a relaxed Ba2AlZnF9 crystal, with properties calculated at the GGA-PBEsol level.

Cell lengths 17.699, 5.529, 7.350 Å; angles 90.00, 90.00, 90.00 degrees
Fractional coordinates of all 52 atoms:
Ba1 0.035 0.250 0.214
Ba2 0.217 0.750 0.937
Ba3 0.283 0.250 0.437
Ba4 0.465 0.750 0.714
Ba5 0.535 0.250 0.286
Ba6 0.717 0.750 0.563
Ba7 0.783 0.250 0.063
Ba8 0.965 0.750 0.786
Al1 0.125 0.750 0.414
Al2 0.375 0.250 0.914
Al3 0.625 0.750 0.086
Al4 0.875 0.250 0.586
Zn1 0.091 0.250 0.734
Zn2 0.409 0.750 0.234
Zn3 0.591 0.250 0.766
Zn4 0.909 0.750 0.266
F1 0.038 0.750 0.270
F2 0.075 0.516 0.547
F3 0.075 0.984 0.547
F4 0.082 0.502 0.924
F5 0.082 0.998 0.924
F6 0.163 0.513 0.274
F7 0.163 0.987 0.274
F8 0.200 0.250 0.728
F9 0.203 0.750 0.566
F10 0.297 0.250 0.066
F11 0.300 0.750 0.228
F12 0.337 0.013 0.774
F13 0.337 0.487 0.774
F14 0.418 0.002 0.424
F15 0.418 0.498 0.424
F16 0.425 0.016 0.047
F17 0.425 0.484 0.047
F18 0.462 0.250 0.770
F19 0.538 0.750 0.230
F20 0.575 0.516 0.953
F21 0.575 0.984 0.953
F22 0.582 0.502 0.576
F23 0.582 0.998 0.576
F24 0.663 0.513 0.226
F25 0.663 0.987 0.226
F26 0.700 0.250 0.772
F27 0.703 0.750 0.934
F28 0.797 0.250 0.434
F29 0.800 0.750 0.272
F30 0.837 0.013 0.726
F31 0.837 0.487 0.726
F32 0.918 0.002 0.076
F33 0.918 0.498 0.076
F34 0.925 0.016 0.453
F35 0.925 0.484 0.453
F36 0.962 0.250 0.730

As for the crystal system: orthorhombic. The value obtained for the uncorrected formation energy is -3.46 eV/atom.

Below is a relaxed La2AlIn crystal, with properties calculated at the GGA-PBEsol level.

Cell lengths 3.808, 3.808, 7.695 Å; angles 90.00, 90.00, 90.00 degrees
Fractional coordinates of all 4 atoms:
La1 0.000 0.000 0.240
La2 0.000 0.000 0.760
Al1 0.500 0.500 0.000
In1 0.500 0.500 0.500

As for the crystal system: tetragonal. Its formation enthalpy at 0 K is -428 meV/atom.